# 1
MnFeAs4: optimized geometry, PBE.

E_form, eV/atom: -0.03
DOS(E_F), states/eV/cell: 9.397

Geometry as CIF:
```
data_MnFeAs4
_chemical_formula_sum 'Mn2 Fe2 As8'
_space_group_name_H-M_alt 'P 1 21/c 1'
_space_group_IT_number 14
_space_group_name_Hall '-P 2ybc'
_cell_length_a 5.9463
_cell_length_b 5.9380
_cell_length_c 5.9552
_cell_angle_alpha 90.00
_cell_angle_beta 90.29
_cell_angle_gamma 90.00
loop_
_atom_site_label
_atom_site_type_symbol
_atom_site_fract_x
_atom_site_fract_y
_atom_site_fract_z
Mn1 Mn 0.0000 0.0000 0.0000
Fe1 Fe 0.5000 0.0000 0.5000
As1 As 0.1306 0.1152 0.3856
As2 As 0.3918 0.6274 0.3700
```

***

# 2
Mn2TcSe: optimized geometry, PBE.

DOS(E_F), states/eV/cell: 3.507
Energy, eV per atom: -7.89

Geometry as CIF:
```
data_Mn2TcSe
_chemical_formula_sum 'Mn2 Tc1 Se1'
_space_group_name_H-M_alt 'P 4/m m m'
_space_group_IT_number 123
_space_group_name_Hall '-P 4 2'
_cell_length_a 3.2318
_cell_length_b 3.2318
_cell_length_c 5.6035
_cell_angle_alpha 90.00
_cell_angle_beta 90.00
_cell_angle_gamma 90.00
loop_
_atom_site_label
_atom_site_type_symbol
_atom_site_fract_x
_atom_site_fract_y
_atom_site_fract_z
Mn1 Mn 0.0000 0.0000 0.2473
Tc1 Tc 0.5000 0.5000 0.0000
Se1 Se 0.5000 0.5000 0.5000
```

***

# 3
B5C7: optimized geometry, PBE.

E_form, eV/atom: 0.38
DOS(E_F), states/eV/cell: 0.658

Geometry as CIF:
```
data_B5C7
_chemical_formula_sum 'B10 C14'
_space_group_name_H-M_alt 'C 1 m 1'
_space_group_IT_number 8
_space_group_name_Hall 'C -2y'
_cell_length_a 8.3394
_cell_length_b 2.6245
_cell_length_c 8.0217
_cell_angle_alpha 90.00
_cell_angle_beta 118.21
_cell_angle_gamma 90.00
loop_
_atom_site_label
_atom_site_type_symbol
_atom_site_fract_x
_atom_site_fract_y
_atom_site_fract_z
B1 B 0.0000 0.0000 0.0000
B2 B 0.0318 0.5000 0.5127
B3 B 0.1129 0.5000 0.3161
B4 B 0.2199 0.5000 0.9416
B5 B 0.2783 0.0000 0.4459
C1 C 0.0914 0.5000 0.1094
C2 C 0.1247 0.0000 0.6278
C3 C 0.1305 0.0000 0.8252
C4 C 0.3053 0.5000 0.1709
C5 C 0.3287 0.0000 0.6686
C6 C 0.3909 0.0000 0.2844
C7 C 0.4203 0.5000 0.7758
```

***

# 4
CoAg2W: optimized geometry, PBE.

E_form, eV/atom: 0.58
DOS(E_F), states/eV/cell: 10.325

Geometry as CIF:
```
data_CoAg2W
_chemical_formula_sum 'Co3 Ag6 W3'
_space_group_name_H-M_alt 'R -3 m'
_space_group_IT_number 166
_space_group_name_Hall '-R 3 2"'
_cell_length_a 2.7728
_cell_length_b 2.7728
_cell_length_c 28.3898
_cell_angle_alpha 90.00
_cell_angle_beta 90.00
_cell_angle_gamma 120.00
loop_
_atom_site_label
_atom_site_type_symbol
_atom_site_fract_x
_atom_site_fract_y
_atom_site_fract_z
Co1 Co 0.0000 0.0000 0.0000
Ag1 Ag 0.0000 0.0000 0.2539
W1 W 0.0000 0.0000 0.5000
```

***

# 5
BaFeP2: optimized geometry, PBE.

E_form, eV/atom: -0.10
DOS(E_F), states/eV/cell: 2.241

Geometry as CIF:
```
data_BaFeP2
_chemical_formula_sum 'Ba1 Fe1 P2'
_space_group_name_H-M_alt 'P 4/m m m'
_space_group_IT_number 123
_space_group_name_Hall '-P 4 2'
_cell_length_a 3.3020
_cell_length_b 3.3020
_cell_length_c 6.9305
_cell_angle_alpha 90.00
_cell_angle_beta 90.00
_cell_angle_gamma 90.00
loop_
_atom_site_label
_atom_site_type_symbol
_atom_site_fract_x
_atom_site_fract_y
_atom_site_fract_z
Ba1 Ba 0.0000 0.0000 0.0000
Fe1 Fe 0.0000 0.0000 0.5000
P1 P 0.5000 0.5000 0.3388
```

***

# 6
Pm2ZnCd5: optimized geometry, PBE.

E_form, eV/atom: -0.16
DOS(E_F), states/eV/cell: 9.584

Geometry as CIF:
```
data_Pm2ZnCd5
_chemical_formula_sum 'Pm4 Zn2 Cd10'
_space_group_name_H-M_alt 'I 4/m m m'
_space_group_IT_number 139
_space_group_name_Hall '-I 4 2'
_cell_length_a 4.9635
_cell_length_b 4.9635
_cell_length_c 15.6324
_cell_angle_alpha 90.00
_cell_angle_beta 90.00
_cell_angle_gamma 90.00
loop_
_atom_site_label
_atom_site_type_symbol
_atom_site_fract_x
_atom_site_fract_y
_atom_site_fract_z
Pm1 Pm 0.0000 0.0000 0.2499
Zn1 Zn 0.0000 0.0000 0.0000
Cd1 Cd 0.0000 0.0000 0.5000
Cd2 Cd 0.0000 0.5000 0.1096
```

***

# 7
AcLa2Tm3: optimized geometry, PBE.

E_form, eV/atom: 0.10
DOS(E_F), states/eV/cell: 37.198

Geometry as CIF:
```
data_AcLa2Tm3
_chemical_formula_sum 'Ac4 La8 Tm12'
_space_group_name_H-M_alt 'C 1 2/c 1'
_space_group_IT_number 15
_space_group_name_Hall '-C 2yc'
_cell_length_a 9.2353
_cell_length_b 10.0603
_cell_length_c 9.2222
_cell_angle_alpha 90.00
_cell_angle_beta 101.77
_cell_angle_gamma 90.00
loop_
_atom_site_label
_atom_site_type_symbol
_atom_site_fract_x
_atom_site_fract_y
_atom_site_fract_z
Ac1 Ac 0.0000 0.0859 0.2500
La1 La 0.1228 0.2524 0.6266
Tm1 Tm 0.0000 0.4261 0.2500
Tm2 Tm 0.2401 0.4129 0.0002
```

***

# 8
Sm3In7Pd4: optimized geometry, PBE.

E_form, eV/atom: -0.61
DOS(E_F), states/eV/cell: 13.719

Geometry as CIF:
```
data_Sm3In7Pd4
_chemical_formula_sum 'Sm6 In14 Pd8'
_space_group_name_H-M_alt 'C 1 2/m 1'
_space_group_IT_number 12
_space_group_name_Hall '-C 2y'
_cell_length_a 16.8769
_cell_length_b 4.4799
_cell_length_c 10.2236
_cell_angle_alpha 90.00
_cell_angle_beta 124.53
_cell_angle_gamma 90.00
loop_
_atom_site_label
_atom_site_type_symbol
_atom_site_fract_x
_atom_site_fract_y
_atom_site_fract_z
Sm1 Sm 0.0000 0.0000 0.0000
Sm2 Sm 0.1912 0.5000 0.6981
In1 In 0.0000 0.0000 0.5000
In2 In 0.0051 0.5000 0.2854
In3 In 0.1611 0.0000 0.4282
In4 In 0.1832 0.5000 0.0297
Pd1 Pd 0.1187 0.0000 0.8380
Pd2 Pd 0.1612 0.5000 0.2706
```

***

# 9
PrCdRh2: optimized geometry, PBE.

E_form, eV/atom: -0.12
DOS(E_F), states/eV/cell: 14.108

Geometry as CIF:
```
data_PrCdRh2
_chemical_formula_sum 'Pr4 Cd4 Rh8'
_space_group_name_H-M_alt 'P m m a'
_space_group_IT_number 51
_space_group_name_Hall '-P 2a 2a'
_cell_length_a 5.4601
_cell_length_b 5.2372
_cell_length_c 13.5139
_cell_angle_alpha 90.00
_cell_angle_beta 90.00
_cell_angle_gamma 90.00
loop_
_atom_site_label
_atom_site_type_symbol
_atom_site_fract_x
_atom_site_fract_y
_atom_site_fract_z
Pr1 Pr 0.2500 0.0000 0.0744
Pr2 Pr 0.2500 0.5000 0.4038
Cd1 Cd 0.2500 0.0000 0.8005
Cd2 Cd 0.2500 0.5000 0.8221
Rh1 Rh 0.0000 0.0000 0.5000
Rh2 Rh 0.0000 0.5000 0.0000
Rh3 Rh 0.2500 0.2609 0.6294
```

***

# 10
NbTcIr2: optimized geometry, PBE.

E_form, eV/atom: 0.30
DOS(E_F), states/eV/cell: 20.853

Geometry as CIF:
```
data_NbTcIr2
_chemical_formula_sum 'Nb4 Tc4 Ir8'
_space_group_name_H-M_alt 'I -4 2 d'
_space_group_IT_number 122
_space_group_name_Hall 'I -4 2bw'
_cell_length_a 3.8587
_cell_length_b 3.8587
_cell_length_c 18.0296
_cell_angle_alpha 90.00
_cell_angle_beta 90.00
_cell_angle_gamma 90.00
loop_
_atom_site_label
_atom_site_type_symbol
_atom_site_fract_x
_atom_site_fract_y
_atom_site_fract_z
Nb1 Nb 0.0000 0.0000 0.0000
Tc1 Tc 0.0000 0.0000 0.5000
Ir1 Ir 0.2398 0.2500 0.6250
```

***

# 11
Sr3HgH: optimized geometry, PBE.

DOS(E_F), states/eV/cell: 18.735
Energy, eV per atom: -2.11

Geometry as CIF:
```
data_Sr3HgH
_chemical_formula_sum 'Sr12 Hg4 H4'
_space_group_name_H-M_alt 'C m c m'
_space_group_IT_number 63
_space_group_name_Hall '-C 2c 2'
_cell_length_a 4.3350
_cell_length_b 14.7069
_cell_length_c 10.5666
_cell_angle_alpha 90.00
_cell_angle_beta 90.00
_cell_angle_gamma 90.00
loop_
_atom_site_label
_atom_site_type_symbol
_atom_site_fract_x
_atom_site_fract_y
_atom_site_fract_z
Sr1 Sr 0.0000 0.0513 0.2500
Sr2 Sr 0.0000 0.3571 0.0688
Hg1 Hg 0.0000 0.2659 0.7500
H1 H 0.0000 0.4649 0.2500
```

***

# 12
Tl2CoBr: optimized geometry, PBE.

DOS(E_F), states/eV/cell: 2.795
Energy, eV per atom: -3.11

Geometry as CIF:
```
data_Tl2CoBr
_chemical_formula_sum 'Tl2 Co1 Br1'
_space_group_name_H-M_alt 'P 4/m m m'
_space_group_IT_number 123
_space_group_name_Hall '-P 4 2'
_cell_length_a 3.4754
_cell_length_b 3.4754
_cell_length_c 7.7836
_cell_angle_alpha 90.00
_cell_angle_beta 90.00
_cell_angle_gamma 90.00
loop_
_atom_site_label
_atom_site_type_symbol
_atom_site_fract_x
_atom_site_fract_y
_atom_site_fract_z
Tl1 Tl 0.0000 0.0000 0.2036
Co1 Co 0.5000 0.5000 0.0000
Br1 Br 0.5000 0.5000 0.5000
```

***

# 13
TbGaAg: optimized geometry, PBE.

E_form, eV/atom: -0.27
DOS(E_F), states/eV/cell: 15.767

Geometry as CIF:
```
data_TbGaAg
_chemical_formula_sum 'Tb4 Ga4 Ag4'
_space_group_name_H-M_alt 'F -4 3 m'
_space_group_IT_number 216
_space_group_name_Hall 'F -4 2 3'
_cell_length_a 6.6076
_cell_length_b 6.6076
_cell_length_c 6.6076
_cell_angle_alpha 90.00
_cell_angle_beta 90.00
_cell_angle_gamma 90.00
loop_
_atom_site_label
_atom_site_type_symbol
_atom_site_fract_x
_atom_site_fract_y
_atom_site_fract_z
Tb1 Tb 0.0000 0.0000 0.0000
Ga1 Ga 0.0000 0.0000 0.5000
Ag1 Ag 0.2500 0.2500 0.7500
```

***

# 14
LuZrTl2: optimized geometry, PBE.

E_form, eV/atom: -0.09
DOS(E_F), states/eV/cell: 2.960

Geometry as CIF:
```
data_LuZrTl2
_chemical_formula_sum 'Lu1 Zr1 Tl2'
_space_group_name_H-M_alt 'P 4/m m m'
_space_group_IT_number 123
_space_group_name_Hall '-P 4 2'
_cell_length_a 3.7982
_cell_length_b 3.7982
_cell_length_c 6.7807
_cell_angle_alpha 90.00
_cell_angle_beta 90.00
_cell_angle_gamma 90.00
loop_
_atom_site_label
_atom_site_type_symbol
_atom_site_fract_x
_atom_site_fract_y
_atom_site_fract_z
Lu1 Lu 0.0000 0.0000 0.0000
Zr1 Zr 0.0000 0.0000 0.5000
Tl1 Tl 0.5000 0.5000 0.2559
```

***

# 15
Tm12Al5Ga2: optimized geometry, PBE.

E_form, eV/atom: -0.14
DOS(E_F), states/eV/cell: 38.288

Geometry as CIF:
```
data_Tm12Al5Ga2
_chemical_formula_sum 'Tm24 Al10 Ga4'
_space_group_name_H-M_alt 'C 1 2/m 1'
_space_group_IT_number 12
_space_group_name_Hall '-C 2y'
_cell_length_a 14.6716
_cell_length_b 8.4756
_cell_length_c 7.9307
_cell_angle_alpha 90.00
_cell_angle_beta 94.06
_cell_angle_gamma 90.00
loop_
_atom_site_label
_atom_site_type_symbol
_atom_site_fract_x
_atom_site_fract_y
_atom_site_fract_z
Tm1 Tm 0.0391 0.0000 0.2081
Tm2 Tm 0.0509 0.5000 0.6621
Tm3 Tm 0.1427 0.2209 0.9061
Tm4 Tm 0.1664 0.3097 0.3495
Al1 Al 0.0000 0.5000 0.0000
Al2 Al 0.1443 0.0000 0.5704
Al3 Al 0.2461 0.0000 0.2440
Ga1 Ga 0.0000 0.1973 0.5000
```

***

# 16
ReIrOs2: optimized geometry, PBE.

E_form, eV/atom: 0.03
DOS(E_F), states/eV/cell: 3.959

Geometry as CIF:
```
data_ReIrOs2
_chemical_formula_sum 'Re1 Ir1 Os2'
_space_group_name_H-M_alt 'P m m m'
_space_group_IT_number 47
_space_group_name_Hall '-P 2 2'
_cell_length_a 2.7277
_cell_length_b 3.8924
_cell_length_c 5.4717
_cell_angle_alpha 90.00
_cell_angle_beta 90.00
_cell_angle_gamma 90.00
loop_
_atom_site_label
_atom_site_type_symbol
_atom_site_fract_x
_atom_site_fract_y
_atom_site_fract_z
Re1 Re 0.0000 0.0000 0.0000
Ir1 Ir 0.0000 0.0000 0.5000
Os1 Os 0.5000 0.5000 0.2473
```

***

# 17
KDyTcN3: optimized geometry, PBE.

DOS(E_F), states/eV/cell: 7.998
Energy, eV per atom: -7.32

Geometry as CIF:
```
data_KDyTcN3
_chemical_formula_sum 'K4 Dy4 Tc4 N12'
_space_group_name_H-M_alt 'C 1 2/m 1'
_space_group_IT_number 12
_space_group_name_Hall '-C 2y'
_cell_length_a 13.4637
_cell_length_b 3.8718
_cell_length_c 7.7486
_cell_angle_alpha 90.00
_cell_angle_beta 104.52
_cell_angle_gamma 90.00
loop_
_atom_site_label
_atom_site_type_symbol
_atom_site_fract_x
_atom_site_fract_y
_atom_site_fract_z
K1 K 0.1433 0.0000 0.0719
Dy1 Dy 0.1617 0.0000 0.5701
Tc1 Tc 0.0010 0.5000 0.3260
N1 N 0.0113 0.0000 0.3256
N2 N 0.1365 0.5000 0.7844
N3 N 0.1622 0.5000 0.3817
```

***

# 18
ErBeAlO4: optimized geometry, PBE.

DOS(E_F), states/eV/cell: 0.000
Energy, eV per atom: -7.41

Geometry as CIF:
```
data_ErBeAlO4
_chemical_formula_sum 'Er4 Be4 Al4 O16'
_space_group_name_H-M_alt 'I m m a'
_space_group_IT_number 74
_space_group_name_Hall '-I 2b 2'
_cell_length_a 5.6729
_cell_length_b 7.1240
_cell_length_c 8.5668
_cell_angle_alpha 90.00
_cell_angle_beta 90.00
_cell_angle_gamma 90.00
loop_
_atom_site_label
_atom_site_type_symbol
_atom_site_fract_x
_atom_site_fract_y
_atom_site_fract_z
Er1 Er 0.0000 0.0000 0.0000
Be1 Be 0.0000 0.2500 0.4569
Al1 Al 0.2500 0.2500 0.7500
O1 O 0.0000 0.0735 0.7512
O2 O 0.2498 0.2500 0.5014
```

***

# 19
LiNpTlI6: optimized geometry, PBE.

DOS(E_F), states/eV/cell: 8.769
Energy, eV per atom: -3.79

Geometry as CIF:
```
data_LiNpTlI6
_chemical_formula_sum 'Li2 Np2 Tl2 I12'
_space_group_name_H-M_alt 'P -3 1 c'
_space_group_IT_number 163
_space_group_name_Hall '-P 3 2c'
_cell_length_a 7.7527
_cell_length_b 7.7527
_cell_length_c 15.3547
_cell_angle_alpha 90.00
_cell_angle_beta 90.00
_cell_angle_gamma 120.00
loop_
_atom_site_label
_atom_site_type_symbol
_atom_site_fract_x
_atom_site_fract_y
_atom_site_fract_z
Li1 Li 0.3333 0.6667 0.2500
Np1 Np 0.3333 0.6667 0.7500
Tl1 Tl 0.0000 0.0000 0.0000
I1 I 0.0015 0.3639 0.6374
```

***

# 20
GaCu2Se3: optimized geometry, PBE.

DOS(E_F), states/eV/cell: 6.539
Energy, eV per atom: -3.99

Geometry as CIF:
```
data_GaCu2Se3
_chemical_formula_sum 'Ga2 Cu4 Se6'
_space_group_name_H-M_alt 'I m m 2'
_space_group_IT_number 44
_space_group_name_Hall 'I 2 -2'
_cell_length_a 3.9331
_cell_length_b 11.8989
_cell_length_c 5.6437
_cell_angle_alpha 90.00
_cell_angle_beta 90.00
_cell_angle_gamma 90.00
loop_
_atom_site_label
_atom_site_type_symbol
_atom_site_fract_x
_atom_site_fract_y
_atom_site_fract_z
Ga1 Ga 0.0000 0.0000 0.0000
Cu1 Cu 0.0000 0.3315 0.0187
Se1 Se 0.0000 0.1709 0.7603
Se2 Se 0.0000 0.5000 0.7710
```

***

# 21
AcEuTlSi: optimized geometry, PBE.

DOS(E_F), states/eV/cell: 23.176
Energy, eV per atom: -5.86

Geometry as CIF:
```
data_AcEuTlSi
_chemical_formula_sum 'Ac4 Eu4 Tl4 Si4'
_space_group_name_H-M_alt 'F -4 3 m'
_space_group_IT_number 216
_space_group_name_Hall 'F -4 2 3'
_cell_length_a 7.8314
_cell_length_b 7.8314
_cell_length_c 7.8314
_cell_angle_alpha 90.00
_cell_angle_beta 90.00
_cell_angle_gamma 90.00
loop_
_atom_site_label
_atom_site_type_symbol
_atom_site_fract_x
_atom_site_fract_y
_atom_site_fract_z
Ac1 Ac 0.0000 0.0000 0.0000
Eu1 Eu 0.0000 0.0000 0.5000
Tl1 Tl 0.2500 0.2500 0.2500
Si1 Si 0.2500 0.2500 0.7500
```

***

# 22
LaPuTeO2: optimized geometry, PBE.

DOS(E_F), states/eV/cell: 22.007
Energy, eV per atom: -9.16

Geometry as CIF:
```
data_LaPuTeO2
_chemical_formula_sum 'La2 Pu2 Te2 O4'
_space_group_name_H-M_alt 'I 4 m m'
_space_group_IT_number 107
_space_group_name_Hall 'I 4 -2'
_cell_length_a 4.0453
_cell_length_b 4.0453
_cell_length_c 13.0092
_cell_angle_alpha 90.00
_cell_angle_beta 90.00
_cell_angle_gamma 90.00
loop_
_atom_site_label
_atom_site_type_symbol
_atom_site_fract_x
_atom_site_fract_y
_atom_site_fract_z
La1 La 0.0000 0.0000 0.0000
Pu1 Pu 0.0000 0.0000 0.3145
Te1 Te 0.0000 0.0000 0.6629
O1 O 0.0000 0.5000 0.4043
```

***

# 23
LiMg3S: optimized geometry, PBE.

DOS(E_F), states/eV/cell: 2.526
Energy, eV per atom: -1.83

Geometry as CIF:
```
data_LiMg3S
_chemical_formula_sum 'Li1 Mg3 S1'
_space_group_name_H-M_alt 'P m -3 m'
_space_group_IT_number 221
_space_group_name_Hall '-P 4 2 3'
_cell_length_a 4.8822
_cell_length_b 4.8822
_cell_length_c 4.8822
_cell_angle_alpha 90.00
_cell_angle_beta 90.00
_cell_angle_gamma 90.00
loop_
_atom_site_label
_atom_site_type_symbol
_atom_site_fract_x
_atom_site_fract_y
_atom_site_fract_z
Li1 Li 0.0000 0.0000 0.0000
Mg1 Mg 0.0000 0.0000 0.5000
S1 S 0.5000 0.5000 0.5000
```

***

# 24
LiDyTm2Au4: optimized geometry, PBE.

E_form, eV/atom: -0.79
DOS(E_F), states/eV/cell: 13.126

Geometry as CIF:
```
data_LiDyTm2Au4
_chemical_formula_sum 'Li3 Dy3 Tm6 Au12'
_space_group_name_H-M_alt 'R -3 m'
_space_group_IT_number 166
_space_group_name_Hall '-R 3 2"'
_cell_length_a 4.9423
_cell_length_b 4.9423
_cell_length_c 24.3607
_cell_angle_alpha 90.00
_cell_angle_beta 90.00
_cell_angle_gamma 120.00
loop_
_atom_site_label
_atom_site_type_symbol
_atom_site_fract_x
_atom_site_fract_y
_atom_site_fract_z
Li1 Li 0.0000 0.0000 0.0000
Dy1 Dy 0.0000 0.0000 0.5000
Tm1 Tm 0.0000 0.0000 0.2562
Au1 Au 0.0000 0.0000 0.1250
Au2 Au 0.0000 0.0000 0.3775
```